K8Na2Cd | PBE | optimized geometry

a = 6.6581 Å, b = 8.8068 Å, c = 11.5930 Å
α = 98.05°, β = 106.69°, γ = 90.00°
Fractional coordinates of all 11 atoms:
1 K 0.4127 0.6015 0.8254
2 K 0.6614 0.9209 0.3227
3 K 0.7845 0.3635 0.5690
4 K 0.0270 0.7796 0.0539
5 K 0.2155 0.6365 0.4310
6 K 0.3386 0.0791 0.6773
7 K 0.5873 0.3985 0.1746
8 K 0.9730 0.2204 0.9461
9 Na 0.8435 0.8247 0.6870
10 Na 0.1565 0.1753 0.3130
11 Cd 0.5000 0.0000 0.0000

Output
Its calculated total energy is -1.115 eV/atom. The space group is C2/m. For the energy above the lowest structure with this stoichiometry, the calculation gives 0.00 kJ per mole of atoms. Its density of states at the Fermi level is 6.7 states/eV/f.u.

=====

K2NaCd3 | PBE | optimized geometry

a = 6.3972 Å, b = 6.3972 Å, c = 6.6790 Å
α = 90.55°, β = 119.24°, γ = 118.68°
Fractional coordinates of all 6 atoms:
1 K 0.7584 0.3798 0.1383
2 K 0.2416 0.6202 0.8617
3 Na 0.0000 0.0000 0.0000
4 Cd 0.5000 0.5000 0.5000
5 Cd 0.0000 0.0000 0.5000
6 Cd 0.5000 0.0000 0.5000

Output
Its calculated total energy is -1.127 eV/atom. The space group is C2/m. Its density of states at the Fermi level is 2.5 states/eV/f.u.

=====

KNa2Cd | PBE | optimized geometry

a = 5.1181 Å, b = 5.1181 Å, c = 12.7803 Å
α = 78.45°, β = 78.45°, γ = 90.00°
Fractional coordinates of all 8 atoms:
1 Na 0.6650 0.1250 0.2500
2 Na 0.0850 0.6250 0.2500
3 Na 0.3750 0.3350 0.7500
4 Na 0.8750 0.9150 0.7500
5 K 0.5000 0.5000 0.0000
6 K 0.2500 0.7500 0.5000
7 Cd 0.0000 0.0000 0.0000
8 Cd 0.7500 0.2500 0.5000

Output
Its calculated total energy is -1.094 eV/atom. The space group is I-42d. Its density of states at the Fermi level is 2.4 states/eV/f.u.

=====

K3NaCd | PBE | optimized geometry

a = 4.7861 Å, b = 10.4336 Å, c = 10.9478 Å
α = 93.86°, β = 90.06°, γ = 103.07°
Fractional coordinates of all 10 atoms:
1 K 0.0849 0.2031 0.4373
2 K 0.4178 0.8728 0.6411
3 K 0.6261 0.2812 0.7805
4 K 0.9591 0.9511 0.9844
5 K 0.2693 0.5707 0.0166
6 K 0.7747 0.5835 0.4049
7 Na 0.4378 0.9050 0.2777
8 Na 0.6062 0.2491 0.1439
9 Cd 0.2390 0.5106 0.6576
10 Cd 0.8049 0.6433 0.7638

Output
Its calculated total energy is -1.122 eV/atom. The space group is P-1. For the energy above the lowest structure with this stoichiometry, the calculation gives 0.00 kJ per mole of atoms. Its density of states at the Fermi level is 2.7 states/eV/f.u.

=====

K2Na5Cd5 | PBE | optimized geometry

a = 5.4521 Å, b = 6.3331 Å, c = 11.4195 Å
α = 90.00°, β = 90.00°, γ = 90.00°
Fractional coordinates of all 12 atoms:
1 K 0.0000 0.5000 0.0000
2 K 0.0000 0.0000 0.5000
3 Na 0.0000 0.5000 0.3320
4 Na 0.0000 0.0000 0.8170
5 Na 0.0000 0.0000 0.1830
6 Na 0.0000 0.5000 0.6680
7 Na 0.5000 0.0000 0.0000
8 Cd 0.5000 0.5000 0.5000
9 Cd 0.5000 0.7536 0.2668
10 Cd 0.5000 0.2464 0.7332
11 Cd 0.5000 0.2464 0.2668
12 Cd 0.5000 0.7536 0.7332

Output
Its calculated total energy is -1.163 eV/atom. The space group is Pmmm. Its density of states at the Fermi level is 3.5 states/eV/f.u.

=====

K2Na3Cd | PBE | optimized geometry

a = 7.0651 Å, b = 7.0651 Å, c = 7.0593 Å
α = 89.72°, β = 120.90°, γ = 119.45°
Fractional coordinates of all 6 atoms:
1 K 0.7441 0.3721 0.1162
2 K 0.2559 0.6279 0.8838
3 Na 0.5000 0.5000 0.5000
4 Na 0.0000 0.0000 0.5000
5 Na 0.5000 0.0000 0.5000
6 Cd 0.0000 0.0000 0.0000

Output
Its calculated total energy is -1.197 eV/atom. The space group is C2/m. For the energy above the lowest structure with this stoichiometry, the calculation gives 0.00 kJ per mole of atoms. Its density of states at the Fermi level is 3.0 states/eV/f.u.

=====

KNa6Cd | PBE | optimized geometry

a = 6.0204 Å, b = 7.5134 Å, c = 7.5134 Å
α = 120.03°, β = 90.00°, γ = 90.00°
Fractional coordinates of all 8 atoms:
1 K 0.5000 0.4155 0.5845
2 Na 0.0000 0.0660 0.4072
3 Na 0.0000 0.5928 0.9340
4 Na 0.0000 0.5916 0.4084
5 Na 0.5000 0.3956 0.0741
6 Na 0.5000 0.9259 0.6044
7 Na 0.5000 0.9274 0.0726
8 Cd 0.0000 0.0849 0.9151

Output
Its calculated total energy is -1.232 eV/atom. The space group is Amm2. For the energy above the lowest structure with this stoichiometry, the calculation gives 0.81 kJ per mole of atoms. Its density of states at the Fermi level is 2.8 states/eV/f.u.

=====

K8Na2Cd | PBE | optimized geometry

a = 6.7216 Å, b = 9.0345 Å, c = 11.7765 Å
α = 108.21°, β = 106.58°, γ = 90.00°
Fractional coordinates of all 11 atoms:
1 K 0.4050 0.5700 0.8100
2 K 0.6533 0.9492 0.3066
3 K 0.8033 0.7261 0.6066
4 K 0.9832 0.2158 0.9663
5 K 0.1967 0.2739 0.3934
6 K 0.3467 0.0508 0.6934
7 K 0.5950 0.4300 0.1900
8 K 0.0168 0.7842 0.0337
9 Na 0.8185 0.2977 0.6369
10 Na 0.1815 0.7023 0.3631
11 Cd 0.5000 0.0000 0.0000

Output
Its calculated total energy is -1.108 eV/atom. The space group is C2/m. For the energy above the lowest structure with this stoichiometry, the calculation gives 0.70 kJ per mole of atoms. Its density of states at the Fermi level is 8.1 states/eV/f.u.

=====

KNa2Cd | PBE | optimized geometry

a = 5.3309 Å, b = 5.2715 Å, c = 5.2715 Å
α = 90.00°, β = 90.00°, γ = 90.00°
Fractional coordinates of all 4 atoms:
1 Na 0.0000 0.0000 0.5000
2 Na 0.0000 0.5000 0.0000
3 K 0.5000 0.5000 0.5000
4 Cd 0.5000 0.0000 0.0000

Output
Its calculated total energy is -1.152 eV/atom. The space group is P4/mmm. Its density of states at the Fermi level is 1.4 states/eV/f.u.

=====

K4NaCd | PBE | optimized geometry

a = 9.0561 Å, b = 9.0561 Å, c = 10.2481 Å
α = 116.22°, β = 116.22°, γ = 90.00°
Fractional coordinates of all 12 atoms:
1 K 0.4669 0.9669 0.2747
2 K 0.9669 0.8078 0.2747
3 K 0.3078 0.4669 0.2747
4 K 0.6922 0.5331 0.7253
5 K 0.0331 0.1922 0.7253
6 K 0.5331 0.0331 0.7253
7 K 0.1922 0.6922 0.7253
8 K 0.8078 0.3078 0.2747
9 Na 0.5000 0.5000 0.0000
10 Na 0.0000 0.0000 0.0000
11 Cd 0.2500 0.2500 0.5000
12 Cd 0.7500 0.7500 0.5000

Output
Its calculated total energy is -1.103 eV/atom. The space group is I4/mcm. Its density of states at the Fermi level is 3.3 states/eV/f.u.

=====

K7Na12Cd | PBE | optimized geometry

a = 11.9878 Å, b = 11.9878 Å, c = 11.9878 Å
α = 109.47°, β = 109.47°, γ = 109.47°
Fractional coordinates of all 20 atoms:
1 K 0.5000 0.5000 0.0000
2 K 0.0000 0.5000 0.5000
3 K 0.5000 0.0000 0.5000
4 K 0.5000 0.5000 0.5000
5 K 0.0000 0.0000 0.5000
6 K 0.5000 0.0000 0.0000
7 K 0.0000 0.5000 0.0000
8 Na 0.3704 0.6306 0.7398
9 Na 0.8908 0.6306 0.2602
10 Na 0.6296 0.3694 0.2602
11 Na 0.1092 0.3694 0.7398
12 Na 0.7398 0.1092 0.3694
13 Na 0.7398 0.3704 0.6306
14 Na 0.2602 0.8908 0.6306
15 Na 0.2602 0.6296 0.3694
16 Na 0.6306 0.7398 0.3704
17 Na 0.3694 0.2602 0.6296
18 Na 0.6306 0.2602 0.8908
19 Na 0.3694 0.7398 0.1092
20 Cd 0.0000 0.0000 0.0000

Output
Its calculated total energy is -1.023 eV/atom. The space group is Im-3. Its density of states at the Fermi level is 12.0 states/eV/f.u.

=====

K2NaCd | PBE | optimized geometry

a = 4.1897 Å, b = 4.1897 Å, c = 12.6624 Å
α = 80.48°, β = 80.48°, γ = 60.00°
Fractional coordinates of all 4 atoms:
1 K 0.0747 0.0747 0.7758
2 K 0.2586 0.2586 0.2241
3 Na 0.5000 0.5000 0.4999
4 Cd 0.6666 0.6666 0.0002

Output
Its calculated total energy is -1.037 eV/atom. The space group is R3m. Its density of states at the Fermi level is 2.9 states/eV/f.u.

=====

| no. | DFT formation energy (eV per atom) |
| --- | --- |
| 1 | 0.006 |
| 2 | -0.084 |
| 3 | 0.069 |
| 4 | -0.016 |
| 5 | -0.049 |
| 6 | -0.019 |
| 7 | 0.009 |
| 8 | 0.014 |
| 9 | 0.011 |
| 10 | 0.001 |
| 11 | 0.198 |
| 12 | 0.070 |